Entry from the Alexandria database: a geometry-optimized Zn2SnAu structure (PBE).

The calculation puts the volume at 20.23 A^3/atom. As for the density of states at the Fermi level: 1.17 states/eV/f.u. The calculation puts the formation enthalpy at 0 K at -0.0094 eV/atom. As for the space group: No. 166. The crystal system is trigonal.

Cell lengths 4.376, 4.376, 5.495 Å; angles 66.54, 66.54, 60.00 degrees
Atoms (fractional coordinates):
Sn 0.500 0.500 0.500
Zn 0.723 0.723 0.832
Zn 0.277 0.277 0.168
Au 0.000 0.000 0.000